Below is a relaxed PaCdPb2O6 crystal, with properties calculated at the PBE level.

```
PaCdPb2O6
1.0
5.891 0.000 0.000
0.000 6.219 0.000
-5.877 0.000 8.635
Pa Cd Pb O
2 2 4 12
direct
0.000 0.000 0.000
0.000 0.500 0.500
0.500 0.000 0.500
0.500 0.500 0.000
0.240 0.043 0.748
0.240 0.457 0.248
0.760 0.543 0.752
0.760 0.957 0.252
0.099 0.199 0.436
0.099 0.301 0.936
0.249 0.674 0.442
0.249 0.826 0.942
0.371 0.058 0.242
0.371 0.442 0.742
0.629 0.558 0.258
0.629 0.942 0.758
0.751 0.174 0.058
0.751 0.326 0.558
0.901 0.699 0.064
0.901 0.801 0.564
```

Properties
- E_tot (eV for the cell shown) = -132.3

=====

Below is a relaxed CaPrNdTm crystal, with properties calculated at the PBE level.

```
CaPrNdTm
1.0
3.670 0.000 0.000
0.000 3.670 0.000
0.000 0.000 10.491
Ca Pr Nd Tm
1 1 1 1
direct
0.000 0.000 0.000
0.500 0.500 0.268
0.500 0.500 0.734
0.000 0.000 0.503
```

Properties
- ΔH_f (0 K) (eV/atom) = 0.04
- E above lowest polymorph (meV per atom) = 0